This record from the Alexandria database describes SrTcRh2 after structural relaxation. The functional is PBE.

Properties
Calculated total energy, eV per atom: -6.394
ρ, g/cm3: 8.50
Relative energy among the computed polymorphs, eV/atom: 0.153

Structure (CIF):
```
data_SrTcRh2
_symmetry_space_group_name_H-M 'C 1 m 1'
_symmetry_Int_Tables_number 8
_symmetry_space_group_name_Hall 'C -2y'
_cell_length_a 9.409
_cell_length_b 2.936
_cell_length_c 5.629
_cell_angle_alpha 90.00
_cell_angle_beta 100.59
_cell_angle_gamma 90.00
loop_
_atom_site_label
_atom_site_fract_x
_atom_site_fract_y
_atom_site_fract_z
Sr1 0.000 0.000 0.000
Tc1 0.278 0.500 0.374
Rh1 0.004 0.500 0.487
Rh2 0.235 0.000 0.724
```